Entry 1:
Computed, not measured: crystalline CaAl2C at its relaxed geometry at the PBE level of DFT.

Summary:
E_form = 0.368 eV/atom
Uncorrected energy = -4.310 eV per atom

Unit cell a=6.315 b=6.315 c=8.606 alpha=90.00 beta=90.00 gamma=90.00
Space group I-42d (No. 122)
Inequivalent atoms, fractional coordinates:
Ca (0.000, 0.000, 0.000) [4 per cell]
Al (0.078, 0.250, 0.625) [8 per cell]
C (0.000, 0.000, 0.500) [4 per cell]

Entry 2:
Computed, not measured: crystalline CaAlC3 at its relaxed geometry at the PBE level of DFT.

Summary:
E_form = 3.236 eV/atom
Uncorrected energy = -3.447 eV per atom
Excess energy over the best structure of this formula in the dataset = 1765 meV per atom

Unit cell a=4.423 b=4.423 c=4.423 alpha=90.00 beta=90.00 gamma=90.00
Space group Pm-3m (No. 221)
Inequivalent atoms, fractional coordinates:
Ca (0.000, 0.000, 0.000) [1 per cell]
Al (0.500, 0.500, 0.500) [1 per cell]
C (0.000, 0.000, 0.500) [3 per cell]

Entry 3:
Computed, not measured: crystalline Ca2AlC at its relaxed geometry at the PBE level of DFT.

Summary:
E_form = 0.646 eV/atom
Uncorrected energy = -3.597 eV per atom
Excess energy over the best structure of this formula in the dataset = 0 meV per atom

Unit cell a=7.682 b=7.682 c=6.379 alpha=90.00 beta=90.00 gamma=90.00
Space group I-42d (No. 122)
Inequivalent atoms, fractional coordinates:
Ca (0.164, 0.250, 0.125) [8 per cell]
Al (0.000, 0.000, 0.500) [4 per cell]
C (0.000, 0.000, 0.000) [4 per cell]

Entry 4:
Computed, not measured: crystalline CaAlC at its relaxed geometry at the PBE level of DFT.

Summary:
E_form = -0.132 eV/atom
Uncorrected energy = -5.122 eV per atom

Unit cell a=3.5232 b=3.5232 c=28.5263 alpha=90.00 beta=90.00 gamma=120.00
Space group R-3m (No. 166, hexagonal axes)
Inequivalent atoms, fractional coordinates:
Ca (0.0000, 0.0000, 0.1084) [6 per cell]
Al (0.0000, 0.0000, 0.3629) [6 per cell]
C (0.0000, 0.0000, 0.2873) [6 per cell]

Entry 5:
Computed, not measured: crystalline Ca2AlC at its relaxed geometry at the PBE level of DFT.

Summary:
E_form = 0.762 eV/atom
Uncorrected energy = -3.480 eV per atom
Excess energy over the best structure of this formula in the dataset = 117 meV per atom

Unit cell a=6.957 b=6.957 c=6.957 alpha=90.00 beta=90.00 gamma=90.00
Space group Fm-3m (No. 225)
Inequivalent atoms, fractional coordinates:
Ca (0.250, 0.250, 0.250) [8 per cell]
Al (0.000, 0.000, 0.000) [4 per cell]
C (0.000, 0.000, 0.500) [4 per cell]

Entry 6:
Computed, not measured: crystalline Ca2AlCdC at its relaxed geometry at the PBE level of DFT.

Summary:
E_form = -0.065 eV/atom
Uncorrected energy = -3.642 eV per atom

Unit cell a=5.249 b=5.249 c=3.944 alpha=90.00 beta=90.00 gamma=90.00
Space group P4/mmm (No. 123)
Inequivalent atoms, fractional coordinates:
Ca (0.000, 0.500, 0.000) [2 per cell]
Al (0.000, 0.000, 0.500) [1 per cell]
Cd (0.500, 0.500, 0.500) [1 per cell]
C (0.000, 0.000, 0.000) [1 per cell]

Entry 7:
Computed, not measured: crystalline CaAl2Fe2C at its relaxed geometry at the PBE level of DFT.

Summary:
E_form = -0.180 eV/atom
Uncorrected energy = -6.119 eV per atom

Unit cell a=3.847 b=3.847 c=5.713 alpha=90.00 beta=90.00 gamma=90.00
Space group P4/mmm (No. 123)
Inequivalent atoms, fractional coordinates:
Ca (0.000, 0.000, 0.000) [1 per cell]
Al (0.500, 0.500, 0.238) [2 per cell]
Fe (0.000, 0.500, 0.500) [2 per cell]
C (0.000, 0.000, 0.500) [1 per cell]

Entry 8:
Computed, not measured: crystalline CaAl2GeC at its relaxed geometry at the PBE level of DFT.

Summary:
E_form = 0.961 eV/atom
Uncorrected energy = -3.705 eV per atom

Unit cell a=5.276 b=5.276 c=3.902 alpha=90.00 beta=90.00 gamma=90.00
Space group P4/mmm (No. 123)
Inequivalent atoms, fractional coordinates:
Ca (0.000, 0.000, 0.000) [1 per cell]
Al (0.000, 0.500, 0.500) [2 per cell]
Ge (0.500, 0.500, 0.500) [1 per cell]
C (0.500, 0.500, 0.000) [1 per cell]

Entry 9:
Computed, not measured: crystalline Ca4Al2H22CO20 at its relaxed geometry at the PBE level of DFT.

Summary:
Uncorrected energy = -5.674 eV per atom

Unit cell a=5.820 b=8.531 c=9.941 alpha=65.35 beta=82.20 gamma=80.80
Space group P1 (No. 1)
Inequivalent atoms, fractional coordinates:
Ca (0.000, 0.000, 0.000) [1 per cell]
Ca (0.035, 0.245, 0.616) [1 per cell]
Ca (0.500, 0.508, 0.499) [1 per cell]
Ca (0.544, 0.738, 0.109) [1 per cell]
Al (0.024, 0.620, 0.305) [1 per cell]
Al (0.516, 0.125, 0.809) [1 per cell]
H (0.001, 0.628, 0.557) [1 per cell]
H (0.003, 0.595, 0.845) [1 per cell]
H (0.049, 0.632, 0.042) [1 per cell]
H (0.084, 0.247, 0.128) [1 per cell]
H (0.193, 0.341, 0.846) [1 per cell]
H (0.198, 0.883, 0.293) [1 per cell]
H (0.237, 0.124, 0.345) [1 per cell]
H (0.261, 0.620, 0.778) [1 per cell]
H (0.302, 0.835, 0.575) [1 per cell]
H (0.342, 0.399, 0.273) [1 per cell]
H (0.366, 0.861, 0.812) [1 per cell]
H (0.477, 0.487, 0.983) [1 per cell]
H (0.494, 0.106, 0.074) [1 per cell]
H (0.502, 0.128, 0.302) [1 per cell]
H (0.533, 0.135, 0.546) [1 per cell]
H (0.572, 0.769, 0.617) [1 per cell]
H (0.674, 0.393, 0.799) [1 per cell]
H (0.708, 0.838, 0.343) [1 per cell]
H (0.727, 0.406, 0.042) [1 per cell]
H (0.835, 0.920, 0.756) [1 per cell]
H (0.854, 0.354, 0.321) [1 per cell]
H (0.876, 0.147, 0.232) [1 per cell]
C (0.895, 0.950, 0.502) [1 per cell]
O (0.088, 0.556, 0.507) [1 per cell]
O (0.093, 0.007, 0.499) [1 per cell]
O (0.164, 0.551, 0.870) [1 per cell]
O (0.173, 0.832, 0.225) [1 per cell]
O (0.207, 0.231, 0.834) [1 per cell]
O (0.332, 0.511, 0.281) [1 per cell]
O (0.351, 0.183, 0.259) [1 per cell]
O (0.372, 0.911, 0.883) [1 per cell]
O (0.415, 0.729, 0.621) [1 per cell]
O (0.446, 0.195, 0.605) [1 per cell]
O (0.588, 0.054, 0.011) [1 per cell]
O (0.631, 0.517, 0.986) [1 per cell]
O (0.660, 0.340, 0.730) [1 per cell]
O (0.714, 0.733, 0.325) [1 per cell]
O (0.764, 0.031, 0.391) [1 per cell]
O (0.825, 0.017, 0.785) [1 per cell]
O (0.832, 0.815, 0.616) [1 per cell]
O (0.873, 0.409, 0.386) [1 per cell]
O (0.927, 0.221, 0.125) [1 per cell]
O (0.954, 0.687, 0.103) [1 per cell]

Entry 10:
Computed, not measured: crystalline CaHfAlC2 at its relaxed geometry at the PBE level of DFT.

Summary:
E_form = 1.915 eV/atom
Uncorrected energy = -4.914 eV per atom

Unit cell a=4.065 b=4.065 c=4.913 alpha=90.00 beta=90.00 gamma=90.00
Space group P4/mmm (No. 123)
Inequivalent atoms, fractional coordinates:
Ca (0.000, 0.000, 0.000) [1 per cell]
Hf (0.500, 0.500, 0.000) [1 per cell]
Al (0.000, 0.000, 0.500) [1 per cell]
C (0.000, 0.500, 0.500) [2 per cell]

Entry 11:
Computed, not measured: crystalline CaLa2AlC at its relaxed geometry at the PBE level of DFT.

Summary:
E_form = -0.106 eV/atom
Uncorrected energy = -5.070 eV per atom

Unit cell a=5.168 b=5.168 c=5.057 alpha=90.00 beta=90.00 gamma=90.00
Space group P4/mmm (No. 123)
Inequivalent atoms, fractional coordinates:
Ca (0.000, 0.000, 0.000) [1 per cell]
La (0.000, 0.500, 0.500) [2 per cell]
Al (0.500, 0.500, 0.000) [1 per cell]
C (0.000, 0.000, 0.500) [1 per cell]

Entry 12:
Computed, not measured: crystalline CaMg2AlC at its relaxed geometry at the PBE level of DFT.

Summary:
E_form = 0.705 eV/atom
Uncorrected energy = -2.927 eV per atom

Unit cell a=5.569 b=5.569 c=3.787 alpha=90.00 beta=90.00 gamma=90.00
Space group P4/mmm (No. 123)
Inequivalent atoms, fractional coordinates:
Ca (0.000, 0.000, 0.000) [1 per cell]
Mg (0.000, 0.500, 0.500) [2 per cell]
Al (0.500, 0.500, 0.500) [1 per cell]
C (0.500, 0.500, 0.000) [1 per cell]

Entry 13:
Computed, not measured: crystalline Ca2AlSbC at its relaxed geometry at the PBE level of DFT.

Summary:
Uncorrected energy = -4.600 eV per atom

Unit cell a=5.263 b=5.263 c=3.882 alpha=90.00 beta=90.00 gamma=90.00
Space group P4/mmm (No. 123)
Inequivalent atoms, fractional coordinates:
Ca (0.000, 0.500, 0.000) [2 per cell]
Al (0.000, 0.000, 0.500) [1 per cell]
Sb (0.500, 0.500, 0.500) [1 per cell]
C (0.000, 0.000, 0.000) [1 per cell]

Entry 14:
Computed, not measured: crystalline CaSc2AlC at its relaxed geometry at the PBE level of DFT.

Summary:
E_form = -0.263 eV/atom
Uncorrected energy = -5.789 eV per atom

Unit cell a=4.542 b=4.542 c=4.974 alpha=90.00 beta=90.00 gamma=90.00
Space group P4/mmm (No. 123)
Inequivalent atoms, fractional coordinates:
Ca (0.000, 0.000, 0.000) [1 per cell]
Sc (0.000, 0.500, 0.500) [2 per cell]
Al (0.500, 0.500, 0.000) [1 per cell]
C (0.000, 0.000, 0.500) [1 per cell]

Entry 15:
Computed, not measured: crystalline Ca2AlCSe at its relaxed geometry at the PBE level of DFT.

Summary:
Uncorrected energy = -4.689 eV per atom

Unit cell a=5.168 b=5.168 c=3.861 alpha=90.00 beta=90.00 gamma=90.00
Space group P4/mmm (No. 123)
Inequivalent atoms, fractional coordinates:
Ca (0.000, 0.500, 0.000) [2 per cell]
Al (0.000, 0.000, 0.500) [1 per cell]
C (0.000, 0.000, 0.000) [1 per cell]
Se (0.500, 0.500, 0.500) [1 per cell]

Entry 16:
Computed, not measured: crystalline CaAlSiC2 at its relaxed geometry at the PBE level of DFT.

Summary:
Uncorrected energy = -3.239 eV per atom

Unit cell a=4.394 b=4.394 c=5.439 alpha=90.00 beta=90.00 gamma=90.00
Space group P4/mmm (No. 123)
Inequivalent atoms, fractional coordinates:
Ca (0.000, 0.000, 0.000) [1 per cell]
Al (0.000, 0.000, 0.500) [1 per cell]
Si (0.500, 0.500, 0.500) [1 per cell]
C (0.000, 0.500, 0.000) [2 per cell]

Entry 17:
Computed, not measured: crystalline Ca2AlTcC at its relaxed geometry at the PBE level of DFT.

Summary:
E_form = 0.581 eV/atom
Uncorrected energy = -4.886 eV per atom

Unit cell a=5.149 b=5.149 c=3.826 alpha=90.00 beta=90.00 gamma=90.00
Space group P4/mmm (No. 123)
Inequivalent atoms, fractional coordinates:
Ca (0.000, 0.500, 0.000) [2 per cell]
Al (0.000, 0.000, 0.500) [1 per cell]
Tc (0.500, 0.500, 0.500) [1 per cell]
C (0.000, 0.000, 0.000) [1 per cell]

Entry 18:
Computed, not measured: crystalline Ca2TiAlC at its relaxed geometry at the PBE level of DFT.

Summary:
E_form = 0.526 eV/atom
Uncorrected energy = -4.446 eV per atom

Unit cell a=5.202 b=5.202 c=3.942 alpha=90.00 beta=90.00 gamma=90.00
Space group P4/mmm (No. 123)
Inequivalent atoms, fractional coordinates:
Ca (0.000, 0.500, 0.000) [2 per cell]
Ti (0.000, 0.000, 0.500) [1 per cell]
Al (0.500, 0.500, 0.500) [1 per cell]
C (0.500, 0.500, 0.000) [1 per cell]

Entry 19:
Computed, not measured: crystalline CaY2AlC at its relaxed geometry at the PBE level of DFT.

Summary:
E_form = -0.202 eV/atom
Uncorrected energy = -5.781 eV per atom

Unit cell a=4.900 b=4.900 c=5.014 alpha=90.00 beta=90.00 gamma=90.00
Space group P4/mmm (No. 123)
Inequivalent atoms, fractional coordinates:
Ca (0.000, 0.000, 0.000) [1 per cell]
Y (0.000, 0.500, 0.500) [2 per cell]
Al (0.500, 0.500, 0.000) [1 per cell]
C (0.000, 0.000, 0.500) [1 per cell]

Entry 20:
Computed, not measured: crystalline CaYAl2C at its relaxed geometry at the PBE level of DFT.

Summary:
E_form = 1.292 eV/atom
Uncorrected energy = -3.742 eV per atom

Unit cell a=5.324 b=5.324 c=4.327 alpha=90.00 beta=90.00 gamma=90.00
Space group P4/mmm (No. 123)
Inequivalent atoms, fractional coordinates:
Ca (0.000, 0.000, 0.000) [1 per cell]
Y (0.500, 0.500, 0.500) [1 per cell]
Al (0.000, 0.500, 0.000) [2 per cell]
C (0.000, 0.000, 0.500) [1 per cell]

Entry 21:
Computed, not measured: crystalline AlCd3C at its relaxed geometry at the PBE level of DFT.

Summary:
E_form = 1.579 eV/atom
Uncorrected energy = -1.563 eV per atom
Excess energy over the best structure of this formula in the dataset = 712 meV per atom

Unit cell a=5.244 b=5.244 c=5.244 alpha=90.00 beta=90.00 gamma=90.00
Space group Pm-3m (No. 221)
Inequivalent atoms, fractional coordinates:
Al (0.000, 0.000, 0.000) [1 per cell]
Cd (0.000, 0.000, 0.500) [3 per cell]
C (0.500, 0.500, 0.500) [1 per cell]

Entry 22:
Computed, not measured: crystalline Al3CdC at its relaxed geometry at the PBE level of DFT.

Summary:
E_form = 1.958 eV/atom
Uncorrected energy = -2.316 eV per atom
Excess energy over the best structure of this formula in the dataset = 1557 meV per atom

Unit cell a=5.014 b=5.014 c=5.014 alpha=90.00 beta=90.00 gamma=90.00
Space group Pm-3m (No. 221)
Inequivalent atoms, fractional coordinates:
Al (0.000, 0.000, 0.500) [3 per cell]
Cd (0.000, 0.000, 0.000) [1 per cell]
C (0.500, 0.500, 0.500) [1 per cell]

Entry 23:
Computed, not measured: crystalline AlCd3C at its relaxed geometry at the PBE level of DFT.

Summary:
E_form = 0.867 eV/atom
Uncorrected energy = -2.275 eV per atom
Excess energy over the best structure of this formula in the dataset = 0 meV per atom

Unit cell a=4.672 b=4.672 c=4.672 alpha=90.00 beta=90.00 gamma=90.00
Space group Pm-3m (No. 221)
Inequivalent atoms, fractional coordinates:
Al (0.000, 0.000, 0.000) [1 per cell]
Cd (0.000, 0.500, 0.500) [3 per cell]
C (0.500, 0.500, 0.500) [1 per cell]

Entry 24:
Computed, not measured: crystalline Al3CdC at its relaxed geometry at the PBE level of DFT.

Summary:
E_form = 0.400 eV/atom
Uncorrected energy = -3.873 eV per atom
Excess energy over the best structure of this formula in the dataset = 0 meV per atom

Unit cell a=4.205 b=4.205 c=4.205 alpha=90.00 beta=90.00 gamma=90.00
Space group Pm-3m (No. 221)
Inequivalent atoms, fractional coordinates:
Al (0.000, 0.000, 0.500) [3 per cell]
Cd (0.500, 0.500, 0.500) [1 per cell]
C (0.000, 0.000, 0.000) [1 per cell]

Entry 25:
Computed, not measured: crystalline AlCdC3 at its relaxed geometry at the PBE level of DFT.

Summary:
E_form = 2.174 eV/atom
Uncorrected energy = -4.291 eV per atom
Excess energy over the best structure of this formula in the dataset = 0 meV per atom

Unit cell a=3.996 b=3.996 c=3.996 alpha=90.00 beta=90.00 gamma=90.00
Space group Pm-3m (No. 221)
Inequivalent atoms, fractional coordinates:
Al (0.000, 0.000, 0.000) [1 per cell]
Cd (0.500, 0.500, 0.500) [1 per cell]
C (0.000, 0.000, 0.500) [3 per cell]

Entry 26:
Computed, not measured: crystalline AlCdC3 at its relaxed geometry at the PBE level of DFT.

Summary:
E_form = 3.254 eV/atom
Uncorrected energy = -3.212 eV per atom
Excess energy over the best structure of this formula in the dataset = 1079 meV per atom

Unit cell a=4.276 b=4.276 c=4.276 alpha=90.00 beta=90.00 gamma=90.00
Space group Pm-3m (No. 221)
Inequivalent atoms, fractional coordinates:
Al (0.000, 0.000, 0.000) [1 per cell]
Cd (0.500, 0.500, 0.500) [1 per cell]
C (0.000, 0.500, 0.500) [3 per cell]